*1*
The following is a DFT calculation (GGA-PBE) of crystalline LaOsAu at its relaxed geometry.

abc: 5.581 5.581 5.581
angles: 141.53 141.53 55.54
Fractional coordinates of all 3 atoms:
La  0.000  0.000  0.000
Os  0.709  0.709  0.000
Au  0.298  0.298  0.000

=====

*2*
The following is a DFT calculation (GGA-PBE) of crystalline LaOsAu at its relaxed geometry.

abc: 4.469 4.469 4.087
angles: 90.00 90.00 120.00
Fractional coordinates of all 3 atoms:
La  0.000  0.000  0.000
Os  0.667  0.333  0.500
Au  0.333  0.667  0.500

=====

List of relative energies, unit eV/atom: *1* 0.233; *2* 0.000

=====

*1*
The following is a DFT calculation (GGA-PBE) of crystalline LaOs2Au at its relaxed geometry.

abc: 5.274 5.274 5.274
angles: 133.22 133.22 68.32
Fractional coordinates of all 4 atoms:
La  0.000  0.000  0.000
Os  0.250  0.750  0.500
Os  0.750  0.250  0.500
Au  0.500  0.500  0.000

=====

*2*
The following is a DFT calculation (GGA-PBE) of crystalline LaOs2Au at its relaxed geometry.

abc: 10.199 10.199 10.199
angles: 16.49 16.49 16.49
Fractional coordinates of all 4 atoms:
La  0.000  0.000  0.000
Os  0.491  0.491  0.491
Os  0.759  0.759  0.759
Au  0.237  0.237  0.237

=====

List of relative energies, unit eV/atom: *1* 0.122; *2* 0.000

=====

*1*
The following is a DFT calculation (GGA-PBE) of crystalline LaOs2Au at its relaxed geometry.

abc: 4.374 4.770 4.391
angles: 90.00 97.15 90.00
Fractional coordinates of all 4 atoms:
La  0.000  0.000  0.000
Os  0.379  0.500  0.745
Os  0.621  0.500  0.255
Au  0.500  0.000  0.500

=====

*2*
The following is a DFT calculation (GGA-PBE) of crystalline LaOs2Au at its relaxed geometry.

abc: 5.938 5.938 5.938
angles: 150.49 130.87 58.35
Fractional coordinates of all 4 atoms:
La  0.000  0.000  0.000
Os  0.520  0.520  0.000
Os  0.722  0.222  0.500
Au  0.283  0.783  0.500

=====

List of relative energies, unit eV/atom: *1* 0.000; *2* 0.110

=====

*1*
The following is a DFT calculation (GGA-PBE) of crystalline LaOs2Au at its relaxed geometry.

abc: 5.858 5.858 5.858
angles: 43.95 43.95 43.95
Fractional coordinates of all 4 atoms:
La  0.000  0.000  0.000
Os  0.200  0.200  0.200
Os  0.530  0.530  0.530
Au  0.791  0.791  0.791

=====

*2*
The following is a DFT calculation (GGA-PBE) of crystalline LaOs2Au at its relaxed geometry.

abc: 3.080 4.871 5.014
angles: 90.00 90.00 90.00
Fractional coordinates of all 4 atoms:
La  0.000  0.000  0.000
Os  0.000  0.500  0.500
Os  0.500  0.500  0.000
Au  0.500  0.000  0.500

=====

List of relative energies, unit eV/atom: *1* 0.000; *2* 0.569

=====

*1*
The following is a DFT calculation (GGA-PBE) of crystalline LaOs2Au at its relaxed geometry.

abc: 4.772 4.772 5.379
angles: 109.69 109.69 55.37
Fractional coordinates of all 4 atoms:
La  0.000  0.000  0.000
Os  0.201  0.201  0.551
Os  0.799  0.799  0.449
Au  0.500  0.500  0.500

=====

*2*
The following is a DFT calculation (GGA-PBE) of crystalline LaOs2Au at its relaxed geometry.

abc: 5.117 5.117 5.117
angles: 130.60 130.60 72.46
Fractional coordinates of all 4 atoms:
La  0.000  0.000  0.000
Os  0.250  0.750  0.500
Os  0.500  0.500  0.000
Au  0.750  0.250  0.500

=====

List of relative energies, unit eV/atom: *1* 0.000; *2* 0.409

=====

*1*
The following is a DFT calculation (GGA-PBE) of crystalline LaOs2Au at its relaxed geometry.

abc: 2.899 3.768 7.228
angles: 90.00 90.17 90.00
Fractional coordinates of all 4 atoms:
La  0.000  0.000  0.000
Os  0.496  0.500  0.308
Os  0.998  0.000  0.447
Au  0.499  0.500  0.700

=====

*2*
The following is a DFT calculation (GGA-PBE) of crystalline LaOs2Au at its relaxed geometry.

abc: 2.888 2.888 9.515
angles: 90.00 90.00 114.38
Fractional coordinates of all 4 atoms:
La  0.000  0.000  0.000
Os  0.500  0.500  0.258
Os  0.500  0.500  0.742
Au  0.000  0.000  0.500

=====

List of relative energies, unit eV/atom: *1* 0.000; *2* 0.664